Crystalline CeSmSnGe at its relaxed geometry, computed with PBE-GGA.

DFT formation energy: -531 meV per atom

abc: 7.5134 7.5134 7.5134
angles: 90.00 90.00 90.00
Space group F-43m (No. 216)
Unique sites:
Ce (0.0000, 0.0000, 0.0000)
Sm (0.0000, 0.0000, 0.5000)
Sn (0.2500, 0.2500, 0.2500)
Ge (0.2500, 0.2500, 0.7500)